(1)
# PBE-GGA Ce2Dy2Tl5, optimized geometry
# Magnetic moment, μB per formula unit: 2.218
data_Ce2Dy2Tl5
_cell_length_a 9.086
_cell_length_b 6.264
_cell_length_c 10.788
_cell_angle_alpha 106.88
_cell_angle_beta 114.91
_cell_angle_gamma 90.00
_space_group_name_H-M_alt 'P 1'
_space_group_IT_number 1
_space_group_name_Hall 'P 1'
loop_
_atom_site_label
_atom_site_fract_x
_atom_site_fract_y
_atom_site_fract_z
Tl1 0.838 0.930 0.175
Tl2 0.701 0.344 0.500
Tl3 0.537 0.759 0.330
Tl4 0.463 0.429 0.670
Tl5 0.162 0.755 0.825
Tl6 0.837 0.430 0.175
Tl7 0.299 0.844 0.500
Tl8 0.707 0.929 0.670
Tl9 0.293 0.259 0.330
Tl10 0.163 0.255 0.825
Ce1 0.061 0.341 0.500
Ce2 0.500 0.593 0.000
Ce3 0.939 0.841 0.500
Ce4 0.000 0.093 0.000
Dy1 0.497 0.013 0.841
Dy2 0.156 0.672 0.159
Dy3 0.503 0.172 0.159
Dy4 0.844 0.513 0.841

---

(2)
# PBE-GGA Ce2Dy2Tl3, optimized geometry
# Excess energy over the best structure of this formula in the dataset, kJ/mol of formula units: 0
# Magnetic moment, μB per formula unit: 1.457
data_Ce2Dy2Tl3
_cell_length_a 4.367
_cell_length_b 3.512
_cell_length_c 12.586
_cell_angle_alpha 90.00
_cell_angle_beta 80.01
_cell_angle_gamma 90.00
_space_group_name_H-M_alt 'P 1'
_space_group_IT_number 1
_space_group_name_Hall 'P 1'
loop_
_atom_site_label
_atom_site_fract_x
_atom_site_fract_y
_atom_site_fract_z
Ce1 0.715 0.500 0.570
Ce2 0.285 0.500 0.430
Tl1 0.000 0.000 0.000
Tl2 0.142 0.000 0.716
Tl3 0.858 0.000 0.284
Dy1 0.572 0.500 0.856
Dy2 0.428 0.500 0.144

---

| no. | calculated formation energy (eV per formula unit) |
| --- | --- |
| 1 | -0.90 |
| 2 | -1.53 |